1.
Material: Pm5Dy6
Method: DFT, GGA-PBE
State: relaxed

Its total energy is -4.56 eV/atom. The value obtained for the spin magnetization is 0.0000 μB/atom. The energy above the most stable polymorph in this dataset comes out at 0 meV/atom. As for the density of states at the Fermi level: 1.45 states/eV/atom. The formation energy is 114 meV per atom.

It has space group Immm (No. 71), with a = 5.5999 Å, b = 8.1723 Å, c = 16.0577 Å, α = 90.00°, β = 90.00° and γ = 90.00°. The asymmetric unit holds Pm at (0.0000, 0.0000, 0.0000), Pm at (0.0000, 0.0000, 0.3008), Pm at (0.0000, 0.5000, 0.3380), Dy at (0.0000, 0.2057, 0.5000) and Dy at (0.0000, 0.2947, 0.1365).

***

2.
Material: LaTiCu
Method: DFT, GGA-PBE
State: relaxed

Its total energy is -5.16 eV/atom. The value obtained for the spin magnetization is 0.0000 μB/atom. The energy above the most stable polymorph in this dataset comes out at 466 meV/atom. As for the density of states at the Fermi level: 1.04 states/eV/atom. The formation energy is 479 meV per atom.

It has space group P4/nmm (No. 129, origin choice 2), with a = 4.2139 Å, b = 4.2139 Å, c = 7.3264 Å, α = 90.00°, β = 90.00° and γ = 90.00°. The asymmetric unit holds La at (0.2500, 0.7500, 0.0000), Ti at (0.2500, 0.2500, 0.3863) and Cu at (0.2500, 0.2500, 0.7047).

***

3.
Material: LiZrRhI2
Method: DFT, GGA-PBE
State: relaxed

The formation energy (no corrections) comes out at 0.01 eV per atom. Its total energy is -4.17 eV/atom. The value obtained for the spin magnetization is 0.0000 μB/atom. As for the density of states at the Fermi level: 0.45 states/eV/atom.

It has space group P4/mmm (No. 123), with a = 5.7890 Å, b = 5.7890 Å, c = 4.8767 Å, α = 90.00°, β = 90.00° and γ = 90.00°. The asymmetric unit holds Li at (0.0000, 0.0000, 0.0000), Zr at (0.5000, 0.5000, 0.5000), Rh at (0.5000, 0.5000, 0.0000) and I at (0.0000, 0.5000, 0.5000).

***

4.
Material: Si2Se
Method: DFT, GGA-PBE
State: relaxed

The formation energy (no corrections) comes out at 0.02 eV per atom. Its total energy is -4.76 eV/atom. The value obtained for the spin magnetization is 0.0000 μB/atom. The energy above the most stable polymorph in this dataset comes out at 190 meV/atom. As for the density of states at the Fermi level: 0.07 states/eV/atom.

It has space group Cm (No. 8), with a = 6.4917 Å, b = 3.4363 Å, c = 11.7295 Å, α = 90.00°, β = 97.04° and γ = 90.00°. The asymmetric unit holds Si at (0.0000, 0.0000, 0.0000), Si at (0.0561, 0.5000, 0.8465), Si at (0.3335, 0.0000, 0.1023), Si at (0.4078, 0.5000, 0.2635), Se at (0.1221, 0.5000, 0.3825) and Se at (0.2203, 0.0000, 0.7299).

***

5.
Material: K5Rb2Na2Ag
Method: DFT, GGA-PBE
State: relaxed

Its total energy is -1.25 eV/atom. The value obtained for the spin magnetization is 0.0000 μB/atom. As for the density of states at the Fermi level: 0.61 states/eV/atom. The formation energy is 42 meV per atom.

It has space group P4/mbm (No. 127), with a = 16.0871 Å, b = 16.0871 Å, c = 4.5847 Å, α = 90.00°, β = 90.00° and γ = 90.00°. The asymmetric unit holds K at (0.0000, 0.5000, 0.0000), K at (0.0467, 0.1729, 0.0000), Rb at (0.1767, 0.6767, 0.5000), Na at (0.1406, 0.3594, 0.5000) and Ag at (0.0000, 0.0000, 0.5000).

***

6.
Material: PmPr2Au3
Method: DFT, GGA-PBE
State: relaxed

Its total energy is -4.66 eV/atom. The value obtained for the spin magnetization is 0.0000 μB/atom. The energy above the most stable polymorph in this dataset comes out at 118 meV/atom. As for the density of states at the Fermi level: 0.88 states/eV/atom. The formation energy is -639 meV per atom.

It has space group Cmcm (No. 63), with a = 4.6674 Å, b = 21.9236 Å, c = 6.4762 Å, α = 90.00°, β = 90.00° and γ = 90.00°. The asymmetric unit holds Pm at (0.0000, 0.1794, 0.2500), Pr at (0.0000, 0.3540, 0.2500), Pr at (0.0000, 0.4707, 0.7500), Au at (0.0000, 0.0683, 0.5330) and Au at (0.0000, 0.2368, 0.7500).

***

7.
Material: Sm4Dy3Pd4
Method: DFT, GGA-PBE
State: relaxed

Its total energy is -5.40 eV/atom. The value obtained for the spin magnetization is 0.0000 μB/atom. As for the density of states at the Fermi level: 1.12 states/eV/atom. The formation energy is -542 meV per atom.

It has space group Immm (No. 71), with a = 3.8498 Å, b = 9.4489 Å, c = 15.8703 Å, α = 90.00°, β = 90.00° and γ = 90.00°. The asymmetric unit holds Sm at (0.0000, 0.1861, 0.1592), Dy at (0.0000, 0.0000, 0.3904), Dy at (0.0000, 0.5000, 0.5000), Pd at (0.0000, 0.3427, 0.0000) and Pd at (0.0000, 0.5000, 0.2547).

***

8.
Material: AcDy4
Method: DFT, GGA-PBE
State: relaxed

Its total energy is -3.49 eV/atom. The value obtained for the spin magnetization is 0.0000 μB/atom. The energy above the most stable polymorph in this dataset comes out at 965 meV/atom. As for the density of states at the Fermi level: 1.79 states/eV/atom. The formation energy is 1013 meV per atom.

It has space group Pm-3m (No. 221), with a = 5.8808 Å, b = 5.8808 Å, c = 5.8808 Å, α = 90.00°, β = 90.00° and γ = 90.00°. The asymmetric unit holds Ac at (0.0000, 0.0000, 0.0000), Dy at (0.0000, 0.0000, 0.5000) and Dy at (0.5000, 0.5000, 0.5000).

***

9.
Material: Pm6Al5Zn
Method: DFT, GGA-PBE
State: relaxed

Its total energy is -4.40 eV/atom. The value obtained for the spin magnetization is 0.0000 μB/atom. As for the density of states at the Fermi level: 0.45 states/eV/atom. The formation energy is -363 meV per atom.

It has space group P2/m (No. 10), with a = 5.2359 Å, b = 7.3828 Å, c = 8.2617 Å, α = 90.00°, β = 108.24° and γ = 90.00°. The asymmetric unit holds Pm at (0.0000, 0.2465, 0.0000), Pm at (0.3348, 0.2482, 0.6693), Al at (0.1663, 0.0000, 0.3328), Al at (0.1670, 0.5000, 0.3344), Al at (0.5000, 0.5000, 0.0000) and Zn at (0.5000, 0.0000, 0.0000).

***

10.
Material: TaNiSe3
Method: DFT, GGA-PBE
State: relaxed

The formation energy (no corrections) comes out at -0.56 eV per atom. Its total energy is -6.18 eV/atom. The value obtained for the spin magnetization is 0.0000 μB/atom. The energy above the most stable polymorph in this dataset comes out at 15 meV/atom. As for the density of states at the Fermi level: 0.56 states/eV/atom.

It has space group P2_1/m (No. 11), with a = 6.1634 Å, b = 3.4879 Å, c = 10.8839 Å, α = 90.00°, β = 99.06° and γ = 90.00°. The asymmetric unit holds Ta at (0.0006, 0.2500, 0.3086), Ni at (0.3156, 0.7500, 0.2449), Se at (0.1699, 0.2500, 0.1167), Se at (0.2243, 0.7500, 0.4516) and Se at (0.3020, 0.2500, 0.7609).

***

11.
Material: LiY6S5
Method: DFT, GGA-PBE
State: relaxed

The formation energy (no corrections) comes out at -1.57 eV per atom. Its total energy is -6.69 eV/atom. The value obtained for the spin magnetization is 0.0000 μB/atom. As for the density of states at the Fermi level: 0.59 states/eV/atom.

It has space group P6_3/mcm (No. 193), with a = 6.6270 Å, b = 6.6270 Å, c = 13.7184 Å, α = 90.00°, β = 90.00° and γ = 120.00°. The asymmetric unit holds Li at (0.0000, 0.0000, 0.2500), Y at (0.0000, 0.3376, 0.1145), S at (0.0000, 0.3408, 0.7500) and S at (0.3333, 0.6667, 0.0000).